(1)
This record from Alexandria describes a relaxed structure of La2WI. The functional is PBE.

Lattice parameters (Å, degrees): 7.8709 7.8709 7.2478 57.11 57.11 90.00
Site moments in Bohr magnetons follow the coordinates.
Atoms (fractional coordinates):
La 0.0539 0.6250 0.2500  0.08
La 0.3750 0.3039 0.7500  0.07
La 0.8750 0.9461 0.7500  0.07
La 0.6961 0.1250 0.2500  0.09
I 0.2500 0.7500 0.5000  0.01
I 0.5000 0.5000 0.0000  0.01
W 0.0000 0.0000 0.0000  0.58
W 0.7500 0.2500 0.5000  0.59

Uncorrected formation energy (eV/f.u.): 1.647
Space-group type: I-42d
Excess energy over the best structure of this formula in the dataset (meV/atom): 13.2
Theoretical density (g/cm³): 6.8

---

(2)
This record from Alexandria describes a relaxed structure of LaWI2. The functional is PBE.

Lattice parameters (Å, degrees): 5.1423 5.1423 10.1086 75.26 75.26 90.00
Atoms (fractional coordinates):
I 0.0832 0.6250 0.2500
I 0.8750 0.9168 0.7500
I 0.6668 0.1250 0.2500
I 0.3750 0.3332 0.7500
La 0.2500 0.7500 0.5000
La 0.5000 0.5000 0.0000
W 0.7500 0.2500 0.5000
W 0.0000 0.0000 0.0000

Uncorrected formation energy (eV/f.u.): 2.416
Space-group type: I-42d
Excess energy over the best structure of this formula in the dataset (meV/atom): 0.0
Theoretical density (g/cm³): 7.7

---

(3)
This record from Alexandria describes a relaxed structure of La2WI. The functional is PBE.

Lattice parameters (Å, degrees): 5.4138 5.4138 5.4138 60.00 60.00 60.00
Atoms (fractional coordinates):
W 0.5000 0.5000 0.5000
La 0.2500 0.2500 0.2500
La 0.7500 0.7500 0.7500
I 0.0000 0.0000 0.0000

Uncorrected formation energy (eV/f.u.): 1.594
Space-group type: Fm-3m
Excess energy over the best structure of this formula in the dataset (meV/atom): 0.0
Theoretical density (g/cm³): 8.7

---

(4)
This record from Alexandria describes a relaxed structure of LaWI3. The functional is PBE.

Lattice parameters (Å, degrees): 5.4166 5.4166 5.4166 90.00 90.00 90.00
Atoms (fractional coordinates):
La 0.5000 0.5000 0.5000
W 0.0000 0.0000 0.0000
I 0.5000 0.0000 0.0000
I 0.0000 0.5000 0.0000
I 0.0000 0.0000 0.5000

Uncorrected formation energy (eV/f.u.): 2.231
Space-group type: Pm-3m
Excess energy over the best structure of this formula in the dataset (meV/atom): 0.0
Theoretical density (g/cm³): 7.4

---

(5)
This record from Alexandria describes a relaxed structure of La2YWI. The functional is PBE.

Lattice parameters (Å, degrees): 5.5493 5.5012 5.5493 90.00 90.00 90.00
Atoms (fractional coordinates):
W 0.0000 0.0000 0.0000
La 0.0000 0.0000 0.5000
La 0.5000 0.0000 0.0000
I 0.0000 0.5000 0.0000
Y 0.5000 0.5000 0.5000

Uncorrected formation energy (eV/f.u.): 3.345
Space-group type: P4/mmm
Theoretical density (g/cm³): 6.6

---

(6)
This record from Alexandria describes a relaxed structure of LaY2I. The functional is PBE.

Lattice parameters (Å, degrees): 5.6337 5.6337 5.6337 60.00 60.00 60.00
Site moments in Bohr magnetons follow the coordinates.
Atoms (fractional coordinates):
I 0.0000 0.0000 0.0000  0.02
Y 0.7500 0.7500 0.7500  0.17
Y 0.2500 0.2500 0.2500  0.17
La 0.5000 0.5000 0.5000  0.39

Uncorrected formation energy (eV/f.u.): 0.426
Space-group type: Fm-3m
Excess energy over the best structure of this formula in the dataset (meV/atom): 430.9
Theoretical density (g/cm³): 5.8

---

(7)
This record from Alexandria describes a relaxed structure of La2YI. The functional is PBE.

Lattice parameters (Å, degrees): 9.4648 9.4648 7.4325 50.45 50.45 90.00
Atoms (fractional coordinates):
La 0.0797 0.6250 0.2500
La 0.6703 0.1250 0.2500
La 0.3750 0.3297 0.7500
La 0.8750 0.9203 0.7500
I 0.7500 0.2500 0.5000
I 0.0000 0.0000 0.0000
Y 0.5000 0.5000 0.0000
Y 0.2500 0.7500 0.5000

Uncorrected formation energy (eV/f.u.): -0.464
Space-group type: I-42d
Excess energy over the best structure of this formula in the dataset (meV/atom): 314.1
Theoretical density (g/cm³): 5.7

---

(8)
This record from Alexandria describes a relaxed structure of LaYI4. The functional is PBE.

Lattice parameters (Å, degrees): 4.2167 7.3980 8.4609 106.30 90.00 90.00
Atoms (fractional coordinates):
La 0.0000 0.5000 0.5000
I 0.5000 0.7637 0.7528
I 0.0000 0.2333 0.7425
I 0.5000 0.2363 0.2472
I 0.0000 0.7667 0.2575
Y 0.5000 0.0000 0.5000

Uncorrected formation energy (eV/f.u.): -7.817
Space-group type: P2/m
Excess energy over the best structure of this formula in the dataset (meV/atom): 0.0
Theoretical density (g/cm³): 4.8

---

(9)
This record from Alexandria describes a relaxed structure of LaY2I. The functional is PBE.

Lattice parameters (Å, degrees): 3.7885 3.7885 10.9217 80.01 80.01 60.00
Atoms (fractional coordinates):
I 0.6667 0.6667 0.9998
Y 0.2572 0.2572 0.2283
Y 0.0762 0.0762 0.7715
La 0.4998 0.4998 0.5005

Uncorrected formation energy (eV/f.u.): -1.298
Space-group type: R3m
Excess energy over the best structure of this formula in the dataset (meV/atom): 0.0
Theoretical density (g/cm³): 5.5

---

(10)
This record from Alexandria describes a relaxed structure of LaY2I. The functional is PBE.

Lattice parameters (Å, degrees): 9.2973 9.2973 7.3404 50.71 50.71 90.00
Atoms (fractional coordinates):
Y 0.1875 0.6250 0.2500
Y 0.3750 0.4375 0.7500
Y 0.8750 0.8125 0.7500
Y 0.5625 0.1250 0.2500
I 0.5000 0.5000 0.0000
I 0.2500 0.7500 0.5000
La 0.0000 0.0000 0.0000
La 0.7500 0.2500 0.5000

Uncorrected formation energy (eV/f.u.): -0.450
Space-group type: I-42d
Excess energy over the best structure of this formula in the dataset (meV/atom): 211.9
Theoretical density (g/cm³): 5.2

---

(11)
This record from Alexandria describes a relaxed structure of LaYI4. The functional is PBE.

Lattice parameters (Å, degrees): 8.7427 8.7085 8.7431 119.87 120.00 90.00
Atoms (fractional coordinates):
I 0.2263 0.7498 0.9997
I 0.7615 0.2665 0.5230
I 0.7615 0.7566 0.5230
I 0.2385 0.7335 0.4770
I 0.2266 0.2502 0.0003
I 0.2385 0.2434 0.4770
I 0.7737 0.2502 0.0003
I 0.7734 0.7498 0.9997
Y 0.0000 0.0000 0.5000
Y 0.5000 0.0000 0.5000
La 0.5000 0.0000 0.0000
La 0.5000 0.5000 0.0000

Uncorrected formation energy (eV/f.u.): -7.668
Space-group type: Imma
Excess energy over the best structure of this formula in the dataset (meV/atom): 24.7
Theoretical density (g/cm³): 5.2

---

(12)
This record from Alexandria describes a relaxed structure of LaYI. The functional is PBE.

Lattice parameters (Å, degrees): 3.8857 5.4444 5.4444 120.00 90.00 90.00
Atoms (fractional coordinates):
I 0.1618 0.0000 0.0000
Y 0.1682 0.3333 0.6667
La 0.6700 0.6667 0.3333

Uncorrected formation energy (eV/f.u.): -0.764
Space-group type: P3m1
Excess energy over the best structure of this formula in the dataset (meV/atom): 99.6
Theoretical density (g/cm³): 5.9

---

Q: What is the uncorrected formation energy in the fourth record?
A: 2.231 eV/f.u.

---

Q: Number 8 is which compound?
A: LaYI4

---

Q: Which formula does entry 1 have?
A: La2WI

---

Q: The lowest uncorrected formation energy belongs to which entry?
A: number 8